Entry 1:
Compound: Dy2YHo3
Source: Alexandria via LeMat-Bulk
Functional: GGA-PBE
Structure: optimized geometry

abc: 11.616 11.616 10.156
angles: 108.17 108.17 17.25
Element x y z (fractional)
Dy 0.069 0.069 0.138
Dy 0.308 0.308 0.628
Dy 0.692 0.692 0.372
Dy 0.931 0.931 0.862
Y 0.313 0.313 0.962
Y 0.687 0.687 0.038
Ho 0.069 0.069 0.765
Ho 0.305 0.305 0.286
Ho 0.441 0.441 0.559
Ho 0.559 0.559 0.441
Ho 0.695 0.695 0.714
Ho 0.931 0.931 0.235

The raw total energy is -4.78 eV/atom. The space-group type is C2/m (12). The calculation puts the density of states at the Fermi level at 19.7 states/eV per cell. The calculation puts the total moment at 0.00 μB/atom.

***

Entry 2:
Compound: Dy2Y5Ho12
Source: Alexandria via LeMat-Bulk
Functional: GGA-PBE
Structure: optimized geometry

abc: 9.119 9.119 8.494
angles: 91.10 91.10 60.02
Element x y z (fractional)
Dy 0.179 0.821 0.000
Dy 0.821 0.179 0.000
Y 0.199 0.199 0.010
Y 0.267 0.267 0.426
Y 0.500 0.500 0.500
Y 0.733 0.733 0.574
Y 0.801 0.801 0.990
Ho 0.057 0.057 0.335
Ho 0.067 0.680 0.338
Ho 0.164 0.528 0.756
Ho 0.320 0.933 0.662
Ho 0.409 0.409 0.114
Ho 0.472 0.836 0.244
Ho 0.528 0.164 0.756
Ho 0.591 0.591 0.886
Ho 0.680 0.067 0.338
Ho 0.836 0.472 0.244
Ho 0.933 0.320 0.662
Ho 0.943 0.943 0.665

The raw total energy is -4.95 eV/atom. The space-group type is C2/m (12). The calculation puts the density of states at the Fermi level at 29.6 states/eV per cell. The calculation puts the total moment at 0.00 μB/atom.

***

Entry 3:
Compound: Dy5YHo7
Source: Alexandria via LeMat-Bulk
Functional: GGA-PBE
Structure: optimized geometry

abc: 8.649 8.649 8.649
angles: 134.84 100.13 96.84
Element x y z (fractional)
Dy 0.000 0.000 0.000
Dy 0.228 0.269 0.495
Dy 0.228 0.733 0.960
Dy 0.773 0.269 0.040
Dy 0.773 0.733 0.505
Y 0.197 0.697 0.500
Ho 0.077 0.249 0.827
Ho 0.422 0.249 0.173
Ho 0.495 0.495 0.000
Ho 0.507 0.007 0.500
Ho 0.581 0.749 0.832
Ho 0.810 0.310 0.500
Ho 0.916 0.749 0.168

The raw total energy is -4.48 eV/atom. The space-group type is Imm2 (44). The calculation puts the density of states at the Fermi level at 25.1 states/eV per cell. The calculation puts the total moment at 0.00 μB/atom.

***

Entry 4:
Compound: DyY7Ho12
Source: Alexandria via LeMat-Bulk
Functional: GGA-PBE
Structure: optimized geometry

abc: 8.663 8.663 8.663
angles: 95.05 95.05 95.05
Element x y z (fractional)
Dy 0.000 0.000 0.000
Y 0.015 0.350 0.081
Y 0.081 0.015 0.350
Y 0.350 0.081 0.015
Y 0.500 0.500 0.500
Y 0.650 0.919 0.985
Y 0.919 0.985 0.650
Y 0.985 0.650 0.919
Ho 0.146 0.477 0.414
Ho 0.190 0.319 0.749
Ho 0.251 0.810 0.681
Ho 0.319 0.749 0.190
Ho 0.414 0.146 0.477
Ho 0.477 0.414 0.146
Ho 0.523 0.586 0.854
Ho 0.586 0.854 0.523
Ho 0.681 0.251 0.810
Ho 0.749 0.190 0.319
Ho 0.810 0.681 0.251
Ho 0.854 0.523 0.586

The raw total energy is -4.93 eV/atom. The space-group type is R-3 (148). The calculation puts the density of states at the Fermi level at 18.7 states/eV per cell. The calculation puts the total moment at 0.00 μB/atom.

***

Entry 5:
Compound: Dy2Y4Ho
Source: Alexandria via LeMat-Bulk
Functional: GGA-PBE
Structure: optimized geometry

abc: 8.959 8.959 8.959
angles: 136.00 100.56 95.59
Element x y z (fractional)
Dy 0.000 0.000 0.000
Dy 0.473 0.223 0.250
Dy 0.500 0.000 0.500
Dy 0.527 0.777 0.750
Y 0.139 0.646 0.493
Y 0.261 0.285 0.524
Y 0.261 0.737 0.976
Y 0.346 0.354 0.993
Y 0.654 0.646 0.007
Y 0.739 0.263 0.024
Y 0.739 0.715 0.476
Y 0.861 0.354 0.507
Ho 0.000 0.000 0.500
Ho 0.000 0.500 0.000

The raw total energy is -5.39 eV/atom. The space-group type is Imma (74). The calculation puts the density of states at the Fermi level at 23.3 states/eV per cell. The calculation puts the total moment at 0.00 μB/atom.

***

Entry 6:
Compound: Dy4Y3Ho2
Source: Alexandria via LeMat-Bulk
Functional: GGA-PBE
Structure: optimized geometry

abc: 9.937 9.937 6.128
angles: 94.78 94.78 71.13
Element x y z (fractional)
Dy 0.095 0.812 0.986
Dy 0.145 0.429 0.153
Dy 0.188 0.905 0.514
Dy 0.429 0.145 0.653
Dy 0.571 0.855 0.347
Dy 0.812 0.095 0.486
Dy 0.855 0.571 0.847
Dy 0.905 0.188 0.014
Y 0.069 0.265 0.582
Y 0.265 0.069 0.082
Y 0.402 0.598 0.250
Y 0.598 0.402 0.750
Y 0.735 0.931 0.918
Y 0.931 0.735 0.418
Ho 0.239 0.521 0.681
Ho 0.479 0.761 0.819
Ho 0.521 0.239 0.181
Ho 0.761 0.479 0.319

The raw total energy is -5.12 eV/atom. The space-group type is C2/c (15). The calculation puts the density of states at the Fermi level at 27.6 states/eV per cell. The calculation puts the total moment at 0.00 μB/atom.